Entry 1:
SrZn2Pd | the Alexandria database | PBE | relaxed; DFT total energy = -10.62 eV/cell; space group = P4/mmm, No. 123; calculated volume = 20.6 Å³ per atom
1.0
-2.691 0.246 2.176
1.137 -2.789 1.722
3.690 4.040 4.108
Sr Zn Pd
1 2 1
Cartesian
1.068 0.748 4.003 Sr
3.012 3.298 3.353 Zn
0.678 0.742 0.755 Zn
-0.777 -1.272 1.949 Pd

Entry 2:
La2CrSi | the Alexandria database | PBE | relaxed; energy relative to the elements, uncorrected = 0.18 eV per atom; space group = F-43m, No. 216; calculated volume = 22.7 Å³ per atom
1.0
-0.923 -2.321 -4.383
-3.940 -3.123 -0.420
-3.997 1.341 -2.771
Cr La Si
1 2 1
Cartesian
-4.430 -2.051 -3.787 Cr
0.000 0.000 0.000 La
-6.645 -3.077 -5.681 La
-2.215 -1.026 -1.894 Si

Entry 3:
Zr2Sb2H | the Alexandria database | PBE | relaxed; space group = C2/m, No. 12; calculated volume = 19.4 Å³ per atom; distance to the lowest polymorph of the same formula = 0.0 meV/atom
1.0
3.764 0.000 0.000
1.882 5.320 0.073
1.882 0.422 9.698
Zr Sb H
4 4 2
Cartesian
1.882 1.637 5.989 Zr
5.646 4.961 8.302 Zr
5.646 4.105 3.781 Zr
1.882 0.781 1.469 Zr
3.764 1.776 3.580 Sb
5.646 1.920 8.954 Sb
3.764 3.965 6.190 Sb
1.882 3.822 0.816 Sb
3.764 1.046 6.731 H
3.764 4.696 3.039 H